A plane-wave DFT calculation with PBE was carried out for a geometry-optimized Nb6Mo5Os structure.

The space group is Immm (No. 71) and the conventional cell measures 4.5593, 6.4401 and 13.7090 Å, with angles of 90.00, 90.00 and 90.00 degrees. The distinct sites, in fractional coordinates, are Nb at (0.0000, 0.2502, 0.0000), Nb at (0.0000, 0.2500, 0.3337), Mo at (0.0000, 0.0000, 0.1653), Mo at (0.0000, 0.0000, 0.5000), Mo at (0.0000, 0.5000, 0.1670) and Os at (0.0000, 0.5000, 0.5000).

For the density of states at the Fermi level, the calculation gives 12.34 states/eV/cell. For the volume, the calculation gives 403 Å³/cell. The calculation puts the calculated total energy at -10.677 eV/atom.